1.
# Li4Mn5CoO12 | Alexandria via LeMat-Bulk | PBE+U | optimized geometry
# Energy, eV for the cell shown: -287.38
# V, Å³/f.u.: 224.5
data_Li4Mn5CoO12
_chemical_formula_sum 'Li8 Mn10 Co2 O24'
_space_group_name_H-M_alt 'C 1 2 1'
_space_group_IT_number 5
_cell_length_a 5.1122
_cell_length_b 8.6961
_cell_length_c 10.2859
_cell_angle_alpha 90.00
_cell_angle_beta 100.97
_cell_angle_gamma 90.00
loop_
_space_group_symop_operation_xyz
'x,y,z'
'-x,y,-z'
'x+1/2,y+1/2,z'
'-x+1/2,y+1/2,-z'
loop_
_atom_site_label
_atom_site_fract_x
_atom_site_fract_y
_atom_site_fract_z
Li1 0.0806 0.0000 0.2569
Li2 0.0993 0.6620 0.2556
Mn1 0.0000 0.1621 0.5000
Mn2 0.0000 0.4920 0.5000
Mn3 0.0000 0.6643 0.0000
Mn4 0.0000 0.8302 0.5000
Mn5 0.0000 0.9983 0.0000
Co1 0.0000 0.3315 0.0000
O1 0.0981 0.8313 0.8934
O2 0.1412 0.5120 0.8934
O3 0.1417 0.1510 0.8938
O4 0.1763 0.0042 0.6108
O5 0.2074 0.6580 0.6011
O6 0.2079 0.3268 0.6022

***

2.
# Li5MnCo2O8 | Alexandria via LeMat-Bulk | PBE+U | optimized geometry
# Relative energy among the computed polymorphs, eV/atom: 0.0210
# V, Å³/f.u.: 137.0
data_Li5MnCo2O8
_chemical_formula_sum 'Li10 Mn2 Co4 O16'
_space_group_name_H-M_alt 'C 1 2/m 1'
_space_group_IT_number 12
_cell_length_a 9.9220
_cell_length_b 5.7998
_cell_length_c 5.8340
_cell_angle_alpha 90.00
_cell_angle_beta 125.32
_cell_angle_gamma 90.00
loop_
_space_group_symop_operation_xyz
'x,y,z'
'-x,-y,-z'
'-x,y,-z'
'x,-y,z'
'x+1/2,y+1/2,z'
'-x+1/2,-y+1/2,-z'
'-x+1/2,y+1/2,-z'
'x+1/2,-y+1/2,z'
loop_
_atom_site_label
_atom_site_fract_x
_atom_site_fract_y
_atom_site_fract_z
Li1 0.0000 0.0000 0.0000
Li2 0.0000 0.0000 0.5000
Li3 0.0000 0.5000 0.0000
Li4 0.2500 0.2500 0.0000
Mn1 0.0000 0.5000 0.5000
Co1 0.2500 0.2500 0.5000
O1 0.0134 0.2642 0.2782
O2 0.2389 0.5000 0.7394
O3 0.2488 0.0000 0.7079

***

3.
# Li7Mn4CoO12 | Alexandria via LeMat-Bulk | PBE+U | optimized geometry
# Relative energy among the computed polymorphs, eV/atom: 0.0906
# V, Å³/f.u.: 207.7
data_Li7Mn4CoO12
_chemical_formula_sum 'Li7 Mn4 Co1 O12'
_space_group_name_H-M_alt 'P 1'
_space_group_IT_number 1
_cell_length_a 4.9927
_cell_length_b 5.0832
_cell_length_c 8.6590
_cell_angle_alpha 89.94
_cell_angle_beta 89.81
_cell_angle_gamma 70.93
loop_
_space_group_symop_operation_xyz
'x,y,z'
loop_
_atom_site_label
_atom_site_fract_x
_atom_site_fract_y
_atom_site_fract_z
Li1 0.0000 0.0000 0.0000
Li2 0.9996 0.4999 0.1544
Li3 0.0012 0.9994 0.6507
Li4 0.4973 0.9989 0.4805
Li5 0.4993 0.0003 0.1563
Li6 0.5018 0.0005 0.8277
Li7 0.9982 0.9991 0.3118
Mn1 0.0020 0.4988 0.8281
Mn2 0.4986 0.5007 0.3146
Mn3 0.5014 0.4991 0.6539
Mn4 0.9983 0.5001 0.4829
Co1 0.5012 0.4997 0.9900
O1 0.2399 0.2777 0.6561
O2 0.2493 0.2761 0.9768
O3 0.2514 0.2743 0.3295
O4 0.2577 0.7195 0.8234
O5 0.2601 0.7251 0.4843
O6 0.2801 0.7276 0.1543
O7 0.7193 0.2724 0.1546
O8 0.7349 0.2740 0.4849
O9 0.7449 0.7263 0.3295
O10 0.7476 0.2795 0.8249
O11 0.7535 0.7232 0.9769
O12 0.7611 0.7215 0.6578

***

4.
# Li4MnCo2O7 | Alexandria via LeMat-Bulk | PBE+U | optimized geometry
# Relative energy among the computed polymorphs, eV/atom: 0.0833
# V, Å³/f.u.: 119.4
data_Li4MnCo2O7
_chemical_formula_sum 'Li8 Mn2 Co4 O14'
_space_group_name_H-M_alt 'P 1'
_space_group_IT_number 1
_cell_length_a 2.8732
_cell_length_b 5.0432
_cell_length_c 16.5398
_cell_angle_alpha 87.93
_cell_angle_beta 85.85
_cell_angle_gamma 89.73
loop_
_space_group_symop_operation_xyz
'x,y,z'
loop_
_atom_site_label
_atom_site_fract_x
_atom_site_fract_y
_atom_site_fract_z
Li1 0.0000 0.0000 0.0000
Li2 0.0473 0.3467 0.8632
Li3 0.1803 0.0678 0.5789
Li4 0.3344 0.7770 0.2933
Li5 0.4956 0.5098 0.0043
Li6 0.6201 0.2167 0.7191
Li7 0.7354 0.9226 0.4377
Li8 0.9318 0.6438 0.1449
Mn1 0.4428 0.1296 0.1415
Mn2 0.8375 0.2827 0.2939
Co1 0.1218 0.7130 0.7191
Co2 0.2389 0.4253 0.4386
Co3 0.5657 0.8577 0.8626
Co4 0.6805 0.5686 0.5790
O1 0.0264 0.6938 0.9213
O2 0.0956 0.9986 0.7930
O3 0.1534 0.4207 0.6460
O4 0.2077 0.7149 0.5121
O5 0.2522 0.1203 0.3675
O6 0.4214 0.4388 0.2204
O7 0.4598 0.8430 0.0811
O8 0.5243 0.1472 0.9222
O9 0.5966 0.5679 0.7850
O10 0.6496 0.8620 0.6519
O11 0.7118 0.2782 0.5054
O12 0.7660 0.5823 0.3720
O13 0.9093 0.9832 0.2142
O14 0.9625 0.3022 0.0825

***

5.
# Li5MnCo2O8 | Alexandria via LeMat-Bulk | PBE+U | optimized geometry
# Relative energy among the computed polymorphs, eV/atom: 0.0492
# V, Å³/f.u.: 142.3
data_Li5MnCo2O8
_chemical_formula_sum 'Li10 Mn2 Co4 O16'
_space_group_name_H-M_alt 'C 1 2/m 1'
_space_group_IT_number 12
_cell_length_a 12.6163
_cell_length_b 2.9210
_cell_length_c 9.8866
_cell_angle_alpha 90.00
_cell_angle_beta 128.62
_cell_angle_gamma 90.00
loop_
_space_group_symop_operation_xyz
'x,y,z'
'-x,-y,-z'
'-x,y,-z'
'x,-y,z'
'x+1/2,y+1/2,z'
'-x+1/2,-y+1/2,-z'
'-x+1/2,y+1/2,-z'
'x+1/2,-y+1/2,z'
loop_
_atom_site_label
_atom_site_fract_x
_atom_site_fract_y
_atom_site_fract_z
Li1 0.0000 0.0000 0.0000
Li2 0.1250 0.5000 0.8868
Li3 0.1272 0.0000 0.3734
Mn1 0.0000 0.5000 0.5000
Co1 0.2325 0.5000 0.2364
O1 0.0567 0.0000 0.6636
O2 0.0741 0.5000 0.1957
O3 0.1802 0.5000 0.5716
O4 0.1980 0.0000 0.0806

***

6.
# Li7Mn4CoO12 | Alexandria via LeMat-Bulk | PBE+U | optimized geometry
# Relative energy among the computed polymorphs, eV/atom: 0.0179
# V, Å³/f.u.: 214.7
data_Li7Mn4CoO12
_chemical_formula_sum 'Li7 Mn4 Co1 O12'
_space_group_name_H-M_alt 'P -1'
_space_group_IT_number 2
_cell_length_a 5.9120
_cell_length_b 5.9549
_cell_length_c 6.4814
_cell_angle_alpha 76.39
_cell_angle_beta 75.47
_cell_angle_gamma 87.46
loop_
_space_group_symop_operation_xyz
'x,y,z'
'-x,-y,-z'
loop_
_atom_site_label
_atom_site_fract_x
_atom_site_fract_y
_atom_site_fract_z
Li1 0.0000 0.0000 0.0000
Li2 0.0000 0.5000 0.0000
Li3 0.3271 0.3229 0.6801
Li4 0.3383 0.8229 0.6849
Li5 0.5000 0.5000 0.0000
Mn1 0.1720 0.1700 0.3262
Mn2 0.1787 0.6690 0.3308
Co1 0.5000 0.0000 0.0000
O1 0.0599 0.0779 0.6515
O2 0.0793 0.6045 0.6587
O3 0.2544 0.2339 0.0163
O4 0.2659 0.7641 0.0206
O5 0.3813 0.3998 0.3437
O6 0.4164 0.9439 0.3173

***

7.
# Li7Mn4CoO12 | Alexandria via LeMat-Bulk | PBE+U | optimized geometry
# Relative energy among the computed polymorphs, eV/atom: 0.0634
# V, Å³/f.u.: 217.6
data_Li7Mn4CoO12
_chemical_formula_sum 'Li7 Mn4 Co1 O12'
_space_group_name_H-M_alt 'P 1 m 1'
_space_group_IT_number 6
_cell_length_a 5.2030
_cell_length_b 2.8692
_cell_length_c 14.5826
_cell_angle_alpha 90.00
_cell_angle_beta 91.73
_cell_angle_gamma 90.00
loop_
_space_group_symop_operation_xyz
'x,y,z'
'x,-y,z'
loop_
_atom_site_label
_atom_site_fract_x
_atom_site_fract_y
_atom_site_fract_z
Li1 0.0000 0.0000 0.0000
Li2 0.0114 0.0000 0.5001
Li3 0.1315 0.5000 0.8508
Li4 0.3619 0.0000 0.1600
Li5 0.4855 0.5000 0.5029
Li6 0.6285 0.0000 0.8432
Li7 0.8766 0.5000 0.1528
Mn1 0.1808 0.5000 0.3327
Mn2 0.5015 0.5000 0.0006
Mn3 0.6819 0.0000 0.3358
Mn4 0.8194 0.5000 0.6705
Co1 0.3186 0.0000 0.6690
O1 0.0376 0.0000 0.2565
O2 0.1660 0.5000 0.5945
O3 0.2105 0.5000 0.0781
O4 0.3158 0.0000 0.4136
O5 0.3397 0.0000 0.9272
O6 0.4694 0.5000 0.7411
O7 0.5402 0.5000 0.2597
O8 0.6415 0.0000 0.5999
O9 0.6620 0.0000 0.0734
O10 0.7927 0.5000 0.9205
O11 0.8186 0.5000 0.4164
O12 0.9994 0.0000 0.7386

***

8.
# Li5MnCo2O8 | Alexandria via LeMat-Bulk | PBE+U | optimized geometry
# Relative energy among the computed polymorphs, eV/atom: 0.0000
# V, Å³/f.u.: 138.8
data_Li5MnCo2O8
_chemical_formula_sum 'Li5 Mn1 Co2 O8'
_space_group_name_H-M_alt 'P 1 2 1'
_space_group_IT_number 3
_cell_length_a 4.9688
_cell_length_b 5.8301
_cell_length_c 5.0784
_cell_angle_alpha 90.00
_cell_angle_beta 109.30
_cell_angle_gamma 90.00
loop_
_space_group_symop_operation_xyz
'x,y,z'
'-x,y,-z'
loop_
_atom_site_label
_atom_site_fract_x
_atom_site_fract_y
_atom_site_fract_z
Li1 0.0000 0.0000 0.0000
Li2 0.0000 0.2402 0.5000
Li3 0.0000 0.7561 0.5000
Li4 0.5000 0.4978 0.5000
Li5 0.5000 0.9966 0.5000
Mn1 0.5000 0.7489 0.0000
Co1 0.0000 0.5021 0.0000
Co2 0.5000 0.2378 0.0000
O1 0.2429 0.2721 0.2178
O2 0.2473 0.5082 0.7762
O3 0.2470 0.7301 0.2173
O4 0.2780 0.9848 0.7614

***

Among the records above, which one has the highest V? Li4Mn5CoO12